The following is a DFT calculation (PBE) of a relaxed Li2HgW crystal. Values from VASP.

Computed properties:
- raw total energy (eV/cell) = -15.28
- space group = No. 12
- crystal system = monoclinic

```
&SYSTEM
  ibrav = 0, nat = 4, ntyp = 3
/
ATOMIC_SPECIES
Li 6.94 Li.upf
W 183.84 W.upf
Hg 200.59 Hg.upf
CELL_PARAMETERS angstrom
-2.687 1.959 -3.785
-4.377 1.876 -1.643
0.991 5.005 0.974
ATOMIC_POSITIONS crystal
Li 0.502 0.502 0.519
Li 0.998 0.998 0.981
W 0.750 0.750 0.750
Hg 0.250 0.250 0.250
```

***

The following is a DFT calculation (PBE) of a relaxed LiHg2W crystal. Values from VASP.

Computed properties:
- energy above the most stable polymorph in this dataset (kJ per mole of atoms) = 66.5
- space group = No. 122
- crystal system = tetragonal

```
&SYSTEM
  ibrav = 0, nat = 8, ntyp = 3
/
ATOMIC_SPECIES
Li 6.94 Li.upf
Hg 200.59 Hg.upf
W 183.84 W.upf
CELL_PARAMETERS angstrom
4.222 0.000 0.000
0.000 4.222 0.000
2.111 2.111 9.300
ATOMIC_POSITIONS crystal
Li 0.250 0.750 0.500
Li 0.500 0.500 0.000
Hg 0.618 0.125 0.250
Hg 0.375 0.382 0.750
Hg 0.132 0.625 0.250
Hg 0.875 0.868 0.750
W 0.750 0.250 0.500
W 0.000 0.000 0.000
```

***

The following is a DFT calculation (PBE) of a relaxed LiHg2W crystal. Values from VASP.

Computed properties:
- energy above the most stable polymorph in this dataset (kJ per mole of atoms) = 48.5
- space group = No. 216
- crystal system = cubic

```
&SYSTEM
  ibrav = 0, nat = 4, ntyp = 3
/
ATOMIC_SPECIES
W 183.84 W.upf
Li 6.94 Li.upf
Hg 200.59 Hg.upf
CELL_PARAMETERS angstrom
-0.351 -4.573 1.130
0.490 -3.303 -3.341
3.841 -2.749 -0.059
ATOMIC_POSITIONS crystal
W 0.750 0.750 0.750
Li 0.500 0.500 0.500
Hg 0.000 0.000 0.000
Hg 0.250 0.250 0.250
```

***

The following is a DFT calculation (PBE) of a relaxed LiHg2W crystal. Values from VASP.

Computed properties:
- energy above the most stable polymorph in this dataset (kJ per mole of atoms) = 10.2
- space group = No. 35
- crystal system = orthorhombic

```
&SYSTEM
  ibrav = 0, nat = 4, ntyp = 3
/
ATOMIC_SPECIES
Li 6.94 Li.upf
Hg 200.59 Hg.upf
W 183.84 W.upf
CELL_PARAMETERS angstrom
-1.021 1.720 -1.989
1.446 -1.809 -1.610
-7.822 -5.553 -0.787
ATOMIC_POSITIONS crystal
Li 0.000 0.000 0.507
Hg 0.500 0.500 0.278
Hg 0.000 0.000 0.979
W 0.500 0.500 0.736
```

***

The following is a DFT calculation (PBE) of a relaxed LiHgW2 crystal. Values from VASP.

Computed properties:
- raw total energy (eV/cell) = -24.78
- space group = No. 123
- crystal system = tetragonal

```
&SYSTEM
  ibrav = 0, nat = 4, ntyp = 3
/
ATOMIC_SPECIES
Hg 200.59 Hg.upf
W 183.84 W.upf
Li 6.94 Li.upf
CELL_PARAMETERS angstrom
2.725 0.000 0.000
0.000 2.725 0.000
0.000 0.000 9.101
ATOMIC_POSITIONS crystal
Hg 0.500 0.500 0.250
W 0.000 0.000 0.510
W 0.000 0.000 0.990
Li 0.500 0.500 0.750
```

***

The following is a DFT calculation (PBE) of a relaxed Li2HgW crystal. Values from VASP.

Computed properties:
- raw total energy (eV/cell) = -14.77
- space group = No. 123
- crystal system = tetragonal

```
&SYSTEM
  ibrav = 0, nat = 4, ntyp = 3
/
ATOMIC_SPECIES
Hg 200.59 Hg.upf
Li 6.94 Li.upf
W 183.84 W.upf
CELL_PARAMETERS angstrom
4.807 0.000 0.000
0.000 4.807 0.000
0.000 0.000 2.714
ATOMIC_POSITIONS crystal
Hg 0.000 0.500 0.500
Li 0.500 0.500 0.000
Li 0.000 0.000 0.000
W 0.500 0.000 0.500
```

***

The following is a DFT calculation (PBE) of a relaxed Li3HgW crystal. Values from VASP.

Computed properties:
- energy above the most stable polymorph in this dataset (kJ per mole of atoms) = 19.5
- space group = No. 221
- crystal system = cubic

```
&SYSTEM
  ibrav = 0, nat = 5, ntyp = 3
/
ATOMIC_SPECIES
W 183.84 W.upf
Hg 200.59 Hg.upf
Li 6.94 Li.upf
CELL_PARAMETERS angstrom
-0.494 1.910 4.707
-2.583 -4.166 1.419
4.373 -2.245 1.370
ATOMIC_POSITIONS crystal
W 0.000 0.000 0.000
Hg 0.500 0.500 0.500
Li 0.500 0.000 0.000
Li 0.000 0.000 0.500
Li 0.000 0.500 0.000
```

***

The following is a DFT calculation (PBE) of a relaxed Li2HgW crystal. Values from VASP.

Computed properties:
- raw total energy (eV/cell) = -15.06
- space group = No. 8
- crystal system = monoclinic

```
&SYSTEM
  ibrav = 0, nat = 4, ntyp = 3
/
ATOMIC_SPECIES
Li 6.94 Li.upf
Hg 200.59 Hg.upf
W 183.84 W.upf
CELL_PARAMETERS angstrom
-4.998 0.837 -0.797
-4.061 -0.137 -3.131
-1.737 -4.746 1.283
ATOMIC_POSITIONS crystal
Li 0.749 0.749 0.768
Li 0.989 0.989 0.983
Hg 0.255 0.255 0.270
W 0.506 0.506 0.479
```

***

The following is a DFT calculation (PBE) of a relaxed LiHg2W crystal. Values from VASP.

Computed properties:
- energy above the most stable polymorph in this dataset (kJ per mole of atoms) = 0.0
- space group = No. 123
- crystal system = tetragonal

```
&SYSTEM
  ibrav = 0, nat = 4, ntyp = 3
/
ATOMIC_SPECIES
Li 6.94 Li.upf
W 183.84 W.upf
Hg 200.59 Hg.upf
CELL_PARAMETERS angstrom
-0.457 4.398 -2.336
-2.905 -0.261 0.076
-0.096 2.338 4.420
ATOMIC_POSITIONS crystal
Li 0.000 0.626 0.375
W 0.500 0.625 0.875
Hg 0.500 0.125 0.375
Hg 0.000 0.125 0.875
```

***

The following is a DFT calculation (PBE) of a relaxed Li2HgW crystal. Values from VASP.

Computed properties:
- raw total energy (eV/cell) = -15.61
- space group = No. 99
- crystal system = tetragonal

```
&SYSTEM
  ibrav = 0, nat = 4, ntyp = 3
/
ATOMIC_SPECIES
Hg 200.59 Hg.upf
W 183.84 W.upf
Li 6.94 Li.upf
CELL_PARAMETERS angstrom
2.837 0.000 0.000
0.000 2.837 0.000
0.000 0.000 8.120
ATOMIC_POSITIONS crystal
Hg 0.500 0.500 0.767
W 0.000 0.000 0.483
Li 0.000 0.000 0.006
Li 0.500 0.500 0.244
```

***

The following is a DFT calculation (PBE) of a relaxed Li2HgW crystal. Values from VASP.

Computed properties:
- raw total energy (eV/cell) = -15.12
- space group = No. 65
- crystal system = orthorhombic

```
&SYSTEM
  ibrav = 0, nat = 4, ntyp = 3
/
ATOMIC_SPECIES
W 183.84 W.upf
Hg 200.59 Hg.upf
Li 6.94 Li.upf
CELL_PARAMETERS angstrom
-1.756 -2.918 4.028
3.728 -2.381 -2.873
1.870 1.037 1.567
ATOMIC_POSITIONS crystal
W 0.500 0.000 0.500
Hg 0.000 0.500 0.500
Li 0.000 0.000 0.000
Li 0.500 0.500 0.000
```

***

The following is a DFT calculation (PBE) of a relaxed LiHgW2 crystal. Values from VASP.

Computed properties:
- raw total energy (eV/cell) = -26.11
- space group = No. 12
- crystal system = monoclinic

```
&SYSTEM
  ibrav = 0, nat = 4, ntyp = 3
/
ATOMIC_SPECIES
Hg 200.59 Hg.upf
W 183.84 W.upf
Li 6.94 Li.upf
CELL_PARAMETERS angstrom
5.310 0.014 -0.044
4.473 2.862 -0.044
0.901 0.265 4.412
ATOMIC_POSITIONS crystal
Hg 0.750 0.750 0.750
W 0.008 0.008 0.001
W 0.492 0.492 0.499
Li 0.250 0.250 0.250
```

***

The following is a DFT calculation (PBE) of a relaxed LiHg2W crystal. Values from VASP.

Computed properties:
- energy above the most stable polymorph in this dataset (kJ per mole of atoms) = 1.3
- space group = No. 10
- crystal system = monoclinic

```
&SYSTEM
  ibrav = 0, nat = 4, ntyp = 3
/
ATOMIC_SPECIES
Hg 200.59 Hg.upf
W 183.84 W.upf
Li 6.94 Li.upf
CELL_PARAMETERS angstrom
2.860 0.000 0.000
0.000 2.853 0.021
0.000 2.806 8.780
ATOMIC_POSITIONS crystal
Hg 0.000 0.988 0.012
Hg 0.000 0.512 0.488
W 0.500 0.750 0.750
Li 0.500 0.250 0.250
```

***

The following is a DFT calculation (PBE) of a relaxed Li2HgW crystal. Values from VASP.

Computed properties:
- raw total energy (eV/cell) = -15.94
- space group = No. 166
- crystal system = trigonal

```
&SYSTEM
  ibrav = 0, nat = 4, ntyp = 3
/
ATOMIC_SPECIES
Li 6.94 Li.upf
W 183.84 W.upf
Hg 200.59 Hg.upf
CELL_PARAMETERS angstrom
-2.893 0.814 9.530
-5.465 0.910 8.316
-4.258 -1.601 8.897
ATOMIC_POSITIONS crystal
Li 0.502 0.502 0.502
Li 0.998 0.998 0.998
W 0.250 0.250 0.250
Hg 0.750 0.750 0.750
```

***

The following is a DFT calculation (PBE) of a relaxed LiHgW2 crystal. Values from VASP.

Computed properties:
- raw total energy (eV/cell) = -26.21
- space group = No. 25
- crystal system = orthorhombic

```
&SYSTEM
  ibrav = 0, nat = 4, ntyp = 3
/
ATOMIC_SPECIES
W 183.84 W.upf
Hg 200.59 Hg.upf
Li 6.94 Li.upf
CELL_PARAMETERS angstrom
-1.611 0.330 2.136
0.471 -4.104 0.988
4.723 1.350 3.353
ATOMIC_POSITIONS crystal
W 0.000 0.000 0.015
W 0.500 0.500 0.220
Hg 0.000 0.000 0.527
Li 0.500 0.500 0.738
```

***

The following is a DFT calculation (PBE) of a relaxed LiHgW2 crystal. Values from VASP.

Computed properties:
- raw total energy (eV/cell) = -25.59
- space group = No. 65
- crystal system = orthorhombic

```
&SYSTEM
  ibrav = 0, nat = 4, ntyp = 3
/
ATOMIC_SPECIES
Li 6.94 Li.upf
W 183.84 W.upf
Hg 200.59 Hg.upf
CELL_PARAMETERS angstrom
5.324 0.007 0.000
-2.754 4.556 0.000
0.000 0.000 2.737
ATOMIC_POSITIONS crystal
Li 0.000 0.500 0.500
W 0.500 0.500 0.000
W 0.000 0.000 0.000
Hg 0.500 0.000 0.500
```

***

The following is a DFT calculation (PBE) of a relaxed LiHgW2 crystal. Values from VASP.

Computed properties:
- raw total energy (eV/cell) = -25.61
- space group = No. 44
- crystal system = orthorhombic

```
&SYSTEM
  ibrav = 0, nat = 4, ntyp = 3
/
ATOMIC_SPECIES
Hg 200.59 Hg.upf
Li 6.94 Li.upf
W 183.84 W.upf
CELL_PARAMETERS angstrom
5.107 -0.004 -0.008
1.842 4.763 0.008
-2.950 -3.146 2.735
ATOMIC_POSITIONS crystal
Hg 0.515 0.515 0.000
Li 0.747 0.247 0.500
W 0.231 0.731 0.500
W 0.007 0.007 0.000
```

***

The following is a DFT calculation (PBE) of a relaxed LiHgW2 crystal. Values from VASP.

Computed properties:
- raw total energy (eV/cell) = -26.20
- space group = No. 71
- crystal system = orthorhombic

```
&SYSTEM
  ibrav = 0, nat = 4, ntyp = 3
/
ATOMIC_SPECIES
Hg 200.59 Hg.upf
W 183.84 W.upf
Li 6.94 Li.upf
CELL_PARAMETERS angstrom
-4.572 1.208 -2.686
-4.548 -2.901 0.684
3.844 2.902 2.525
ATOMIC_POSITIONS crystal
Hg 0.250 0.750 0.500
W 0.997 0.997 0.000
W 0.503 0.503 0.000
Li 0.750 0.250 0.500
```

***

Number 1: D(E_F) 2.5 states/eV per cell. Number 2: D(E_F) 5.8 states/eV per cell. Number 3: D(E_F) 0.9 states/eV per cell. Number 4: D(E_F) 2.3 states/eV per cell. Number 5: D(E_F) 4.0 states/eV per cell. Number 6: D(E_F) 2.8 states/eV per cell. Number 7: D(E_F) 4.0 states/eV per cell. Number 8: D(E_F) 3.0 states/eV per cell. Number 9: D(E_F) 2.7 states/eV per cell. Number 10: D(E_F) 1.7 states/eV per cell. Number 11: D(E_F) 3.4 states/eV per cell. Number 12: D(E_F) 2.2 states/eV per cell. Number 13: D(E_F) 2.1 states/eV per cell. Number 14: D(E_F) 3.2 states/eV per cell. Number 15: D(E_F) 2.7 states/eV per cell. Number 16: D(E_F) 2.5 states/eV per cell. Number 17: D(E_F) 2.0 states/eV per cell. Number 18: D(E_F) 1.9 states/eV per cell.